[1]
A relaxed TcSbW2 crystal, computed with GGA-PBEsol.

Calculated values
Total magnetization in μB/cell: 0.00
Energy in Ha/atom: -0.3799
Raw formation energy in eV/atom: 0.5209

Cell: 3.8076 3.8076 4.4893 Å, 90.00 90.00 90.00°
Last column: nearest neighbours and their distance in Å.
Element x y z (fractional)
Tc 0.0000 0.0000 0.0000  4 Sb 2.69, 8 W 2.94
Sb 0.5000 0.5000 0.0000  4 Tc 2.69, 8 W 2.94
W 0.0000 0.5000 0.5000  4 W 2.69, 4 Tc 2.94, 4 Sb 2.94
W 0.5000 0.0000 0.5000  4 W 2.69, 4 Tc 2.94, 4 Sb 2.94


[2]
A relaxed TcSbW2 crystal, computed with GGA-PBEsol.

Calculated values
Total magnetization in μB/cell: 0.00
Energy in Ha/atom: -0.3836
Raw formation energy in eV/atom: 0.4207

Cell: 2.9992 2.9992 7.3110 Å, 90.00 90.00 90.00°
Last column: nearest neighbours and their distance in Å.
Element x y z (fractional)
Tc 0.0000 0.0000 0.0000  8 W 2.70, 4 Tc 3.00
Sb 0.0000 0.0000 0.5000  8 W 2.91, 4 Sb 3.00
W 0.5000 0.5000 0.2275  4 Tc 2.70, 4 Sb 2.91, 4 W 3.00
W 0.5000 0.5000 0.7725  4 Tc 2.70, 4 Sb 2.91, 4 W 3.00


[3]
A relaxed TcSb2W crystal, computed with GGA-PBEsol.

Calculated values
Distance to the lowest polymorph of the same formula in meV/atom: 421.1
Total magnetization in μB/cell: 0.00
Energy in Ha/atom: -0.2858
Raw formation energy in eV/atom: 0.7712

Cell: 5.2798 5.2798 5.2798 Å, 143.90 119.92 72.13°
Last column: nearest neighbours and their distance in Å.
Element x y z (fractional)
Tc 0.0000 0.0000 0.0000  4 Sb 2.65
Sb 0.2437 0.7437 0.5000  2 Tc 2.65, 2 W 2.73
Sb 0.7563 0.2563 0.5000  2 Tc 2.65, 2 W 2.73
W 0.5000 0.5000 0.0000  4 Sb 2.73


[4]
A relaxed Zn2TcSbW crystal, computed with GGA-PBEsol.

Calculated values
Total magnetization in μB/cell: 1.60
Energy in Ha/atom: -0.1627
Raw formation energy in eV/atom: 2.1306

Cell: 4.7393 4.7393 4.9101 Å, 90.00 90.00 90.00°
Last column: nearest neighbours and their distance in Å.
Element x y z (fractional)
Zn 0.0000 0.5000 0.0000  2 Sb 2.37
Zn 0.5000 0.0000 0.0000  2 Sb 2.37
Tc 0.0000 0.0000 0.5000  2 Sb 2.46
Sb 0.0000 0.0000 0.0000  4 Zn 2.37, 2 Tc 2.46
W 0.5000 0.5000 0.5000  4 Tc 3.35, 8 Zn 3.41


[5]
A relaxed YTcSb crystal, computed with GGA-PBEsol.

Calculated values
Distance to the lowest polymorph of the same formula in meV/atom: 418.9
Total magnetization in μB/cell: 1.46
Energy in Ha/atom: -0.2730
Raw formation energy in eV/atom: 0.1201

Cell: 4.6431 4.6431 4.6431 Å, 60.00 60.00 60.00°
Last column: nearest neighbours and their distance in Å.
Element x y z (fractional)
Y 0.0000 0.0000 0.0000  4 Sb 2.84
Tc 0.5000 0.5000 0.5000  4 Sb 2.84
Sb 0.2500 0.2500 0.2500  4 Tc 2.84, 4 Y 2.84


[6]
A relaxed YTcSb crystal, computed with GGA-PBEsol.

Calculated values
Distance to the lowest polymorph of the same formula in meV/atom: 0.0
Total magnetization in μB/cell: 0.00
Energy in Ha/atom: -0.2884
Raw formation energy in eV/atom: -0.2988

Cell: 5.9549 5.9549 5.9549 Å, 147.12 147.12 47.19°
Last column: nearest neighbours and their distance in Å.
Element x y z (fractional)
Y 0.0000 0.0000 0.0000  4 Tc 3.06, 5 Sb 3.19-3.29, 4 Y 3.37
Tc 0.3244 0.3244 0.0000  4 Sb 2.70
Sb 0.7076 0.7076 0.0000  4 Tc 2.70


[7]
A relaxed YTcSb2 crystal, computed with GGA-PBEsol.

Calculated values
Total magnetization in μB/cell: 0.00
Energy in Ha/atom: -0.2579
Raw formation energy in eV/atom: -0.2160

Cell: 3.5245 3.5245 6.9237 Å, 90.00 90.00 90.00°
Last column: nearest neighbours and their distance in Å.
Element x y z (fractional)
Y 0.0000 0.0000 0.0000  5 Sb 3.10, 4 Tc 3.18
Tc 0.5000 0.5000 0.7152  4 Sb 2.74
Sb 0.0000 0.0000 0.5517  4 Tc 2.74
Sb 0.5000 0.5000 0.2657  4 Y 3.10, 1 Tc 3.11, 4 Sb 3.18


[8]
A relaxed Zn2TcSb crystal, computed with GGA-PBEsol.

Calculated values
Total magnetization in μB/cell: 0.00
Energy in Ha/atom: -0.1635
Raw formation energy in eV/atom: 0.2972

Cell: 4.0343 4.0343 3.8512 Å, 90.00 90.00 90.00°
Last column: nearest neighbours and their distance in Å.
Element x y z (fractional)
Zn 0.0000 0.5000 0.0000  4 Tc 2.79, 4 Sb 2.79, 4 Zn 2.85
Zn 0.5000 0.0000 0.0000  4 Tc 2.79, 4 Sb 2.79, 4 Zn 2.85
Tc 0.0000 0.0000 0.5000  8 Zn 2.79, 4 Sb 2.85
Sb 0.5000 0.5000 0.5000  8 Zn 2.79, 4 Tc 2.85


[9]
A relaxed ZnTcSb2 crystal, computed with GGA-PBEsol.

Calculated values
Total magnetization in μB/cell: 0.00
Energy in Ha/atom: -0.1983
Raw formation energy in eV/atom: 0.0952

Cell: 4.4193 5.1661 5.1661 Å, 39.18 90.00 90.00°
Last column: nearest neighbours and their distance in Å.
Element x y z (fractional)
Zn 0.0000 0.0000 0.0000  7 Sb 2.64-2.87, 2 Tc 2.67
Tc 0.5000 0.1532 0.1532  2 Zn 2.67, 7 Sb 2.73-2.90
Sb 0.0000 0.7289 0.7289  3 Zn 2.64-2.82, 4 Tc 2.90
Sb 0.5000 0.4368 0.4368  3 Tc 2.73-2.76, 4 Zn 2.87


[10]
A relaxed Zr2TcSb crystal, computed with GGA-PBEsol.

Calculated values
Total magnetization in μB/cell: 0.00
Energy in Ha/atom: -0.3261
Raw formation energy in eV/atom: -0.3715

Cell: 3.2412 3.2412 7.6216 Å, 90.00 90.00 94.75°
Last column: nearest neighbours and their distance in Å.
Element x y z (fractional)
Zr 0.0000 0.0000 0.2091  4 Tc 2.71-2.87
Zr 0.0000 0.0000 0.7909  4 Tc 2.71-2.87
Tc 0.5000 0.5000 0.0000  8 Zr 2.71-2.87
Sb 0.5000 0.5000 0.5000  8 Zr 3.12-3.26, 4 Sb 3.24


[11]
A relaxed Sb8Te3 crystal, computed with GGA-PBEsol.

Calculated values
Total magnetization in μB/cell: 0.00
Energy in Ha/atom: -0.1591
Raw formation energy in eV/atom: -0.0532

Cell: 21.0188 21.0188 21.0188 Å, 11.77 11.77 11.77°
Last column: nearest neighbours and their distance in Å.
Element x y z (fractional)
Sb 0.0472 0.0472 0.0472  3 Sb 2.93
Sb 0.1358 0.1358 0.1358  6 Te 3.01-3.15
Sb 0.3210 0.3210 0.3210  3 Sb 2.93
Sb 0.4052 0.4052 0.4052  3 Sb 2.93
Sb 0.5948 0.5948 0.5948  3 Sb 2.93
Sb 0.6790 0.6790 0.6790  3 Sb 2.93
Sb 0.8642 0.8642 0.8642  6 Te 3.01-3.15
Sb 0.9528 0.9528 0.9528  3 Sb 2.93
Te 0.2246 0.2246 0.2246  3 Sb 3.01
Te 0.5000 0.5000 0.5000  6 Sb 3.15
Te 0.7754 0.7754 0.7754  3 Sb 3.01


[12]
A relaxed SbTe2 crystal, computed with GGA-PBEsol.

Calculated values
Distance to the lowest polymorph of the same formula in meV/atom: 174.6
Total magnetization in μB/cell: 0.00
Energy in Ha/atom: -0.1376
Raw formation energy in eV/atom: 0.1256

Cell: 12.5102 12.5102 12.5102 Å, 162.43 161.95 25.29°
Last column: nearest neighbours and their distance in Å.
Element x y z (fractional)
Sb 0.3663 0.1163 0.2500  4 Te 3.07
Sb 0.6337 0.8837 0.7500  4 Te 3.07
Te 0.0448 0.2948 0.7500  2 Te 2.90
Te 0.1903 0.4403 0.7500  4 Sb 3.07
Te 0.8097 0.5597 0.2500  4 Sb 3.07
Te 0.9552 0.7052 0.2500  2 Te 2.90


Which DOS at the Fermi energy belongs to each record? In order, 3.219; 2.824; 3.714; 5.618; 1.914; 2.541; 2.105; 2.932; 2.527; 2.975; 0.920; 2.976 states/eV per cell.